DFT (PBE-GGA) results for a relaxed TmSc4Si4 crystal.

Results
Total energy in eV for the cell shown: -112.0
M_tot in μB per formula unit: 0.0
Fermi-level density of states in states/eV/atom: 0.76
Formation energy from raw total energies in eV per atom: -0.50

Cell: 8.691 8.691 5.368 Å, 90.00 90.00 90.00°
Space group P4_2/n (No. 86, origin choice 2)
Inequivalent atoms, fractional coordinates:
Tm1 0.250 0.250 0.250 x2
Sc1 0.100 0.641 0.129 x8
Si1 0.043 0.599 0.638 x8

DFT (PBE-GGA) results for a relaxed LaTb2Y6Tm crystal.

Results
Total energy in eV for the cell shown: -225.1
ΔE_f in meV/atom: 118
M_tot in μB per formula unit: 0.0
Fermi-level density of states in states/eV/atom: 1.57

Cell: 9.188 15.088 9.569 Å, 90.00 96.55 90.00°
Space group C2/c (No. 15)
Inequivalent atoms, fractional coordinates:
La1 0.000 0.028 0.250 x4
Tb1 0.248 0.448 0.449 x8
Y1 0.062 0.186 0.942 x8
Y2 0.098 0.391 0.114 x8
Y3 0.213 0.225 0.317 x8
Tm1 0.000 0.411 0.750 x4

DFT (PBE-GGA) results for a relaxed Ba3Tl4Zn2 crystal.

Results
Total energy in eV for the cell shown: -41.2
ΔE_f in meV/atom: -314
M_tot in μB per formula unit: 0.0
Fermi-level density of states in states/eV/atom: 0.34

Cell: 12.280 5.170 10.104 Å, 90.00 110.89 90.00°
Space group C2/m (No. 12)
Inequivalent atoms, fractional coordinates:
Ba1 0.000 0.000 0.000 x2
Ba2 0.176 0.500 0.650 x4
Tl1 0.025 0.000 0.355 x4
Tl2 0.240 0.500 0.087 x4
Zn1 0.095 0.500 0.269 x4

DFT (PBE-GGA) results for a relaxed Re3Os4 crystal.

Results
Energy relative to the lowest polymorph listed for this composition in eV per formula unit: 3.10
Total energy in eV for the cell shown: -235.9
ΔE_f in meV/atom: 517
M_tot in μB per formula unit: 0.0
Fermi-level density of states in states/eV/atom: 0.93

Cell: 4.3473 4.3473 19.5905 Å, 90.00 90.00 120.00°
Space group R-3m (No. 166, hexagonal axes)
Inequivalent atoms, fractional coordinates:
Re1 0.0000 0.0000 0.0000 x3
Re2 0.0000 0.0000 0.1637 x6
Os1 0.0000 0.0000 0.2982 x6
Os2 0.0000 0.0000 0.4337 x6

DFT (PBE-GGA) results for a relaxed LiBeAlMo2 crystal.

Results
Total energy in eV for the cell shown: -24.9
ΔE_f in meV/atom: 1225
M_tot in μB per formula unit: 0.0
Fermi-level density of states in states/eV/atom: 1.00

Cell: 4.216 4.216 4.127 Å, 90.00 90.00 90.00°
Space group P4/mmm (No. 123)
Inequivalent atoms, fractional coordinates:
Li1 0.000 0.000 0.000 x1
Be1 0.500 0.500 0.500 x1
Al1 0.000 0.000 0.500 x1
Mo1 0.000 0.500 0.000 x2

DFT (PBE-GGA) results for a relaxed Ga2PbN crystal.

Results
Energy relative to the lowest polymorph listed for this composition in eV per formula unit: 3.59
Total energy in eV for the cell shown: -54.8
M_tot in μB per formula unit: 0.9
Fermi-level density of states in states/eV/atom: 0.56
Formation energy from raw total energies in eV per atom: 1.10

Cell: 6.761 6.761 6.761 Å, 90.00 90.00 90.00°
Space group Fm-3m (No. 225)
Inequivalent atoms, fractional coordinates:
Ga1 0.250 0.250 0.250 x8
Pb1 0.000 0.000 0.000 x4
N1 0.000 0.000 0.500 x4